# Rb2PmCrF6

A geometry-optimized Rb2PmCrF6 structure (PBE+U, Alexandria).

As for the volume: 20.4 A^3/atom. Its total magnetic moment is 4.99 μB per formula unit. As for the raw total energy: -5.49 eV per atom.

Cell lengths 6.846, 6.848, 8.716 Å; angles 90.00, 90.00, 90.00 degrees
Fractional positions:
F (0.000, 0.751, 0.240)
Pm (0.000, 0.749, 0.500)
Rb (0.500, 0.751, 0.250)
F (0.500, 0.249, 0.260)
Rb (0.500, 0.751, 0.750)
F (0.000, 0.751, 0.760)
F (0.268, 0.483, 0.000)
Rb (0.000, 0.249, 0.750)
F (0.232, 0.517, 0.500)
F (0.233, 0.982, 0.500)
F (0.500, 0.249, 0.740)
Pm (0.500, 0.251, 0.000)
F (0.267, 0.018, 0.000)
F (0.732, 0.483, 0.000)
F (0.767, 0.982, 0.500)
Cr (0.500, 0.250, 0.500)
F (0.768, 0.517, 0.500)
Rb (0.000, 0.249, 0.250)
F (0.733, 0.018, 0.000)
Cr (0.000, 0.750, 0.000)